ZnInCl2 (PBE-GGA, relaxed); E = -2.556 eV per atom; calculated density = 3.7 g/cm3; energy above the most stable polymorph in this dataset = 0.054 eV per atom; formation energy without anion corrections = -630 meV per atom; symmetry = R-3m; M_tot = 0.00 Bohr magnetons per cell
1.0
1.773 1.024 10.350
-1.773 1.024 10.350
0.000 -2.048 10.350
Zn In Cl
1 1 2
Direct
0.000 0.000 0.000
0.500 0.500 0.500
0.288 0.288 0.288
0.712 0.712 0.712